# 1
Computed, not measured: an optimized crystal structure of K2Li2As at the PBE level of DFT.

Calculated values
The volume is 34.2 Å³ per atom. The formation energy comes out at -10.20 kcal/mol of atoms. The calculation puts the relative energy among the computed polymorphs at 0 meV per atom.

Cell: 4.4554 4.4554 10.2623 Å, 77.46 77.46 60.00°
With the nearest neighbours (Å) after each atom.
Sites, in units of the cell vectors:
1 K 0.4292 0.4292 0.7123  4 Li 3.21-3.59
2 K 0.5708 0.5708 0.2877  4 Li 3.21-3.59
3 Li 0.6786 0.6786 0.9642  3 As 2.60, 3 Li 2.67
4 Li 0.3214 0.3214 0.0358  3 As 2.60, 3 Li 2.67
5 As 0.0000 0.0000 0.0000  6 Li 2.60

# 2
Computed, not measured: an optimized crystal structure of Sr2YTlSi at the PBE level of DFT.

Calculated values
The value obtained for the formation energy without anion corrections is 0.4545 eV per atom. The volume is 42.9 Å³ per atom.

Cell: 6.1207 5.7266 6.1207 Å, 90.00 90.00 90.00°
With the nearest neighbours (Å) after each atom.
Sites, in units of the cell vectors:
1 Y 0.0000 0.5000 0.0000  2 Tl 2.86
2 Sr 0.0000 0.0000 0.5000  2 Tl 3.06
3 Sr 0.5000 0.0000 0.0000  2 Tl 3.06
4 Tl 0.0000 0.0000 0.0000  2 Y 2.86, 4 Sr 3.06
5 Si 0.5000 0.5000 0.5000  8 Sr 4.19, 4 Y 4.33

# 3
Computed, not measured: an optimized crystal structure of La5ReBr5 at the PBE level of DFT.

Calculated values
The value obtained for the formation energy without anion corrections is -1.2012 eV per atom. The volume is 31.8 Å³ per atom.

Cell: 6.1670 7.3666 9.0137 Å, 108.05 90.00 114.74°
With the nearest neighbours (Å) after each atom.
Sites, in units of the cell vectors:
1 La 0.8344 0.6688 0.1348  1 Re 2.87, 2 Br 3.15
2 La 0.8544 0.7088 0.7095  1 Re 2.68
3 La 0.5000 0.0000 0.0000  2 Re 3.08, 4 Br 3.16-3.23
4 La 0.1456 0.2912 0.2905  1 Re 2.68
5 La 0.1656 0.3312 0.8652  1 Re 2.87, 2 Br 3.15
6 Re 0.0000 0.0000 0.0000  4 La 2.68-2.87
7 Br 0.6711 0.3422 0.3535  5 La 3.13-3.41
8 Br 0.6477 0.2954 0.7913  5 La 3.10-3.25
9 Br 0.0000 0.0000 0.5000  4 La 3.14-3.28
10 Br 0.3523 0.7046 0.2087  5 La 3.10-3.25
11 Br 0.3289 0.6578 0.6465  5 La 3.13-3.41

# 4
Computed, not measured: an optimized crystal structure of NaSr2Cd2 at the PBE level of DFT.

Calculated values
The volume is 36.6 Å³ per atom. The formation energy comes out at -2.89 kcal/mol of atoms. The calculation puts the relative energy among the computed polymorphs at 106 meV per atom.

Cell: 9.6282 9.6282 3.9491 Å, 90.00 90.00 90.00°
With the nearest neighbours (Å) after each atom.
Sites, in units of the cell vectors:
1 Sr 0.3553 0.8553 0.0000  6 Cd 3.43-3.45, 2 Na 3.69
2 Sr 0.8553 0.6447 0.0000  6 Cd 3.43-3.45, 2 Na 3.69
3 Sr 0.6447 0.1447 0.0000  6 Cd 3.43-3.45, 2 Na 3.69
4 Sr 0.1447 0.3553 0.0000  6 Cd 3.43-3.45, 2 Na 3.69
5 Na 0.0000 0.0000 0.0000  4 Sr 3.69, 2 Na 3.95
6 Na 0.5000 0.5000 0.0000  4 Sr 3.69, 2 Na 3.95
7 Cd 0.1494 0.6494 0.5000  6 Sr 3.43-3.45
8 Cd 0.6494 0.8506 0.5000  6 Sr 3.43-3.45
9 Cd 0.8506 0.3506 0.5000  6 Sr 3.43-3.45
10 Cd 0.3506 0.1494 0.5000  6 Sr 3.43-3.45

# 5
Computed, not measured: an optimized crystal structure of La3InCo at the PBE level of DFT.

Calculated values
The volume is 30.4 Å³ per atom. The formation energy comes out at -6.04 kcal/mol of atoms. The calculation puts the relative energy among the computed polymorphs at 30 meV per atom.

Cell: 6.9107 8.7538 5.3851 Å, 90.00 110.87 90.00°
With the nearest neighbours (Å) after each atom.
Sites, in units of the cell vectors:
1 In 0.0626 0.2500 0.3017  1 Co 2.76
2 In 0.9374 0.7500 0.6983  1 Co 2.76
3 Co 0.6375 0.2500 0.0568  4 La 2.68-2.79, 1 In 2.76
4 Co 0.3625 0.7500 0.9432  4 La 2.68-2.79, 1 In 2.76
5 La 0.2346 0.0539 0.8783  2 Co 2.79-3.12
6 La 0.7654 0.9461 0.1217  2 Co 2.79-3.12
7 La 0.2346 0.4461 0.8783  2 Co 2.79-3.12
8 La 0.7654 0.5539 0.1217  2 Co 2.79-3.12
9 La 0.6157 0.2500 0.5492  2 Co 2.68-2.71
10 La 0.3843 0.7500 0.4508  2 Co 2.68-2.71

# 6
Computed, not measured: an optimized crystal structure of PmGdDyIn at the PBE level of DFT.

Calculated values
The volume is 29.4 Å³ per atom. The formation energy comes out at -2.89 kcal/mol of atoms.

Cell: 5.4997 5.4997 5.4997 Å, 60.00 60.00 60.00°
With the nearest neighbours (Å) after each atom.
Sites, in units of the cell vectors:
1 In 0.2500 0.2500 0.2500  4 Gd 3.37, 4 Dy 3.37
2 Gd 0.5000 0.5000 0.5000  4 In 3.37, 4 Pm 3.37
3 Pm 0.7500 0.7500 0.7500  4 Dy 3.37, 4 Gd 3.37
4 Dy 0.0000 0.0000 0.0000  4 In 3.37, 4 Pm 3.37